A crystal of Y2AgHg relaxed with PBEsol. Source: Alexandria via LeMat-Bulk, functional meta-GGA SCAN.

CIF file:
```
data_Y2AgHg
_chemical_formula_sum 'Y2 Ag1 Hg1'
_cell_length_a 5.1248
_cell_length_b 5.1248
_cell_length_c 3.6099
_cell_angle_alpha 90.00
_cell_angle_beta 90.00
_cell_angle_gamma 90.00
_symmetry_space_group_name_H-M 'P 4/m m m'
_symmetry_Int_Tables_number 123
_symmetry_space_group_name_Hall '-P 4 2'
loop_
_atom_site_label
_atom_site_type_symbol
_atom_site_fract_x
_atom_site_fract_y
_atom_site_fract_z
Y1 Y 0.0000 0.5000 0.0000
Ag1 Ag 0.0000 0.0000 0.5000
Hg1 Hg 0.5000 0.5000 0.5000
```

Computed properties:
* magnetization: 0.00 μB/cell
* energy of formation: -0.607 eV/atom
* density of states at the Fermi level: 2.39 states/eV/f.u.